Record 1
Below is a relaxed SrSnB3 crystal, with properties calculated at the PBE level.

Output
The value obtained for the excess energy over the best structure of this formula in the dataset is 1101.8 meV/atom. The calculation puts the formation energy at 2.58 eV per atom. The value obtained for the final energy is -12.8 eV per formula unit. For the density of states at the Fermi level, the calculation gives 4.44 states/eV/f.u.

a b c (Å): 4.942 4.942 4.942
angles (deg): 90.00 90.00 90.00
Space group Pm-3m (No. 221)
Inequivalent atoms, fractional coordinates:
Sr (0.000, 0.000, 0.000) x1
Sn (0.500, 0.500, 0.500) x1
B (0.000, 0.000, 0.500) x3


Record 2
Below is a relaxed Sr2ZnSnB crystal, with properties calculated at the PBE level.

Output
The calculation puts the formation energy at -0.04 eV per atom. The value obtained for the final energy is -15.5 eV per formula unit. For the density of states at the Fermi level, the calculation gives 4.29 states/eV/f.u.

a b c (Å): 5.863 5.863 3.972
angles (deg): 90.00 90.00 90.00
Space group P4/mmm (No. 123)
Inequivalent atoms, fractional coordinates:
Sr (0.000, 0.500, 0.000) x2
Zn (0.000, 0.000, 0.500) x1
Sn (0.500, 0.500, 0.500) x1
B (0.000, 0.000, 0.000) x1